(1)
La5Sm12Dy2, optimized geometry, DFT PBE; symmetry = No. 71
1.0
-2.609 5.103 12.700
2.609 -5.103 12.700
2.609 5.103 -12.700
La Sm Dy
5 12 2
Cartesian
0.000 0.000 0.000
0.000 0.000 5.026
2.609 0.000 7.647
0.000 5.103 5.053
0.000 0.000 20.374
2.609 2.578 -4.993
2.609 0.000 2.495
2.609 -2.476 10.279
0.000 2.627 2.421
0.000 0.000 10.188
2.609 2.578 4.993
0.000 2.526 7.707
0.000 0.000 15.213
2.609 2.476 10.279
0.000 7.580 2.421
0.000 5.103 10.205
0.000 2.526 17.694
2.609 2.453 0.000
0.000 2.651 12.700

---

(2)
LaSmDy, optimized geometry, DFT PBE; symmetry = No. 107
1.0
3.653 0.000 0.000
0.000 3.653 0.000
0.000 0.000 15.387
La Sm Dy
2 2 2
Cartesian
0.000 0.000 0.000
1.827 1.827 7.693
0.000 0.000 10.323
1.827 1.827 2.630
0.000 0.000 5.113
1.827 1.827 12.807

---

(3)
La2Sm9Dy, optimized geometry, DFT PBE; symmetry = No. 123
1.0
5.148 0.000 0.000
0.000 5.148 0.000
0.000 0.000 15.466
La Sm Dy
2 9 1
Cartesian
0.000 0.000 2.589
0.000 0.000 12.877
0.000 2.574 0.000
0.000 2.574 5.205
0.000 2.574 10.261
2.574 0.000 0.000
2.574 0.000 5.205
2.574 0.000 10.261
2.574 2.574 2.609
2.574 2.574 7.733
2.574 2.574 12.857
0.000 0.000 7.733

---

Total DFT energy (no corrections) / eV/atom: -4.64; -4.72; -4.72
N(E_F) / states/eV/f.u.: 35.2; 4.8; 20.6
Magnetization / Bohr magnetons per cell: 0.000; 0.000; 0.000